Below is crystalline InTeIrO6 at its relaxed geometry, with properties calculated at the GGA-PBE level.

Geometry as POSCAR:
```
InTeIrO6
1.0
5.352 0.000 0.000
-2.676 4.635 0.000
0.000 0.000 8.638
In Te Ir O
2 2 2 12
direct
0.333 0.667 0.250
0.667 0.333 0.750
0.333 0.667 0.750
0.667 0.333 0.250
0.000 0.000 0.000
0.000 0.000 0.500
0.024 0.348 0.622
0.024 0.676 0.878
0.324 0.348 0.878
0.324 0.976 0.622
0.348 0.024 0.122
0.348 0.324 0.378
0.652 0.676 0.622
0.652 0.976 0.878
0.676 0.024 0.378
0.676 0.652 0.122
0.976 0.324 0.122
0.976 0.652 0.378
```

Output
N(E_F) = 0.1171 states/eV per atom
uncorrected formation energy = -0.877 eV/atom
calculated total energy = -5.821 eV/atom
symmetry = P-31c (163)